(1)
## TlReP2 (PBE)

Data for a relaxed structure of TlReP2.

## Properties
formation energy	0.726	eV/atom
energy above the most stable polymorph in this dataset	2.86	eV per formula unit
VASP energy	-5.6830	eV per atom

a b c (Å): 2.940 2.940 9.444
angles (deg): 90.00 90.00 117.36
Atoms (fractional coordinates):
1 Re 0.000 0.000 0.447
2 Tl 0.500 0.500 0.742
3 P 0.000 0.000 0.050
4 P 0.500 0.500 0.261


(2)
## Tc3N2 (PBE)

Data for a relaxed structure of Tc3N2.

## Properties
VASP energy	-9.3784	eV per atom
formation energy without anion corrections	0.171	eV/atom

a b c (Å): 4.987 4.987 5.920
angles (deg): 65.09 65.09 60.00
Atoms (fractional coordinates):
1 N 0.161 0.161 0.517
2 N 0.661 0.661 0.017
3 N 0.339 0.339 0.983
4 N 0.839 0.839 0.483
5 Tc 0.250 0.586 0.250
6 Tc 0.750 0.414 0.750
7 Tc 0.914 0.250 0.250
8 Tc 0.414 0.086 0.750
9 Tc 0.086 0.750 0.750
10 Tc 0.586 0.914 0.250


(3)
## As2Ru (PBE)

Data for a relaxed structure of As2Ru.

## Properties
formation energy	0.157	eV/atom
VASP energy	-6.0350	eV per atom

a b c (Å): 6.518 6.518 4.867
angles (deg): 90.00 90.00 151.46
Atoms (fractional coordinates):
1 As 0.547 0.453 0.250
2 As 0.225 0.775 0.250
3 As 0.775 0.225 0.750
4 As 0.453 0.547 0.750
5 Ru 0.879 0.121 0.250
6 Ru 0.121 0.879 0.750


D(E_F), record by record: 1.988; 7.445; 3.481 states/eV per cell